The following is a DFT calculation (PBE) of a relaxed Sr3CdRh crystal.

Values from the calculation:
For the energy of formation, the calculation gives -0.180 eV per atom. The spin magnetization is 0.00 Bohr magnetons per cell.

Unit cell a=5.7984 b=5.7984 c=5.7984 alpha=90.00 beta=90.00 gamma=90.00
Last column: nearest neighbours and their distance in Å.
Element x y z (fractional)
Sr1 0.0000 0.0000 0.5000  2 Rh 2.90
Sr2 0.0000 0.5000 0.0000  2 Rh 2.90
Sr3 0.5000 0.0000 0.0000  2 Rh 2.90
Cd1 0.5000 0.5000 0.5000  12 Sr 4.10
Rh1 0.0000 0.0000 0.0000  6 Sr 2.90

---

The following is a DFT calculation (PBE) of a relaxed MgTlOsPd2 crystal.

Values from the calculation:
For the energy of formation, the calculation gives 1.654 eV per atom. The spin magnetization is 2.71 Bohr magnetons per cell.

Unit cell a=4.9560 b=4.9560 c=5.0114 alpha=90.00 beta=90.00 gamma=90.00
Last column: nearest neighbours and their distance in Å.
Element x y z (fractional)
Mg1 0.0000 0.0000 0.0000  2 Tl 2.51
Tl1 0.0000 0.0000 0.5000  4 Pd 2.48, 2 Mg 2.51
Os1 0.5000 0.5000 0.0000  4 Mg 3.50, 8 Pd 3.52
Pd1 0.0000 0.5000 0.5000  2 Tl 2.48
Pd2 0.5000 0.0000 0.5000  2 Tl 2.48

---

The following is a DFT calculation (PBE) of a relaxed LaPrGdHo crystal.

Values from the calculation:
For the energy of formation, the calculation gives 0.095 eV per atom. The spin magnetization is 7.88 Bohr magnetons per cell.

Unit cell a=5.7975 b=5.7975 c=5.7975 alpha=60.00 beta=60.00 gamma=60.00
Last column: nearest neighbours and their distance in Å.
Element x y z (fractional)
La1 0.0000 0.0000 0.0000  4 Gd 3.55, 4 Ho 3.55
Pr1 0.5000 0.5000 0.5000  4 Ho 3.55, 4 Gd 3.55
Gd1 0.2500 0.2500 0.2500  4 Pr 3.55, 4 La 3.55
Ho1 0.7500 0.7500 0.7500  4 La 3.55, 4 Pr 3.55

---

The following is a DFT calculation (PBE) of a relaxed Si2SnAs crystal.

Values from the calculation:
For the formation energy (no corrections), the calculation gives 0.53 eV/atom. The spin magnetization is 0.00 Bohr magnetons per cell.

Unit cell a=4.7739 b=4.7739 c=4.7739 alpha=60.00 beta=60.00 gamma=60.00
Last column: nearest neighbours and their distance in Å.
Element x y z (fractional)
Si1 0.2500 0.2500 0.2500  4 As 2.92, 4 Sn 2.92
Si2 0.7500 0.7500 0.7500  4 As 2.92, 4 Sn 2.92
Sn1 0.0000 0.0000 0.0000  8 Si 2.92
As1 0.5000 0.5000 0.5000  8 Si 2.92

---

What did the second record say?
The following is a DFT calculation (PBE) of a relaxed MgTlOsPd2 crystal.

Values from the calculation:
For the energy of formation, the calculation gives 1.654 eV per atom. The spin magnetization is 2.71 Bohr magnetons per cell.

Unit cell a=4.9560 b=4.9560 c=5.0114 alpha=90.00 beta=90.00 gamma=90.00
Last column: nearest neighbours and their distance in Å.
Element x y z (fractional)
Mg1 0.0000 0.0000 0.0000  2 Tl 2.51
Tl1 0.0000 0.0000 0.5000  4 Pd 2.48, 2 Mg 2.51
Os1 0.5000 0.5000 0.0000  4 Mg 3.50, 8 Pd 3.52
Pd1 0.0000 0.5000 0.5000  2 Tl 2.48
Pd2 0.5000 0.0000 0.5000  2 Tl 2.48